Entry 1:
This record from the Alexandria database describes crystalline Nd8Bi2Pb at its relaxed geometry. The functional is PBE-GGA.

## Properties
- Calculated formation energy: -8.36 kcal/mol of atoms
- DOS at the Fermi energy: 14.13 states/eV/f.u.

Lattice parameters (Å, degrees): 19.1772 5.0101 7.7950 90.00 91.77 90.00
Space group C2/m (No. 12)
Symmetry-distinct sites (fractional):
Nd 0.0083 0.0000 0.2531 [4 per cell]
Nd 0.0964 0.5000 0.5228 [4 per cell]
Nd 0.1654 0.5000 0.0538 [4 per cell]
Nd 0.2186 0.0000 0.3652 [4 per cell]
Bi 0.1700 0.0000 0.7823 [4 per cell]
Pb 0.0000 0.5000 0.0000 [2 per cell]

***

Entry 2:
This record from the Alexandria database describes crystalline Pr8YEr6 at its relaxed geometry. The functional is PBE-GGA.

## Properties
- Calculated formation energy: 3.74 kcal/mol of atoms
- DOS at the Fermi energy: 21.58 states/eV/f.u.
- Offset from the most stable computed form: 0.0000 eV per atom

Lattice parameters (Å, degrees): 9.3297 9.3297 20.3777 90.00 90.00 120.00
Space group R-3 (No. 148, hexagonal axes)
Symmetry-distinct sites (fractional):
Pr 0.0000 0.0000 0.0742 [6 per cell]
Pr 0.0682 0.2443 0.6588 [18 per cell]
Y 0.0000 0.0000 0.5000 [3 per cell]
Er 0.0476 0.2470 0.1928 [18 per cell]